No. 1
# NbInTc

An optimized crystal structure of NbInTc (GGA-PBE, OQMD).

a b c (Å): 4.4537 4.4537 4.4537
angles (deg): 60.00 60.00 60.00
Closest atoms and distances in Å follow each position.
Fractional positions:
In 0.0000 0.0000 0.0000  4 Tc 2.73
Tc 0.2500 0.2500 0.2500  4 In 2.73, 4 Nb 2.73
Nb 0.5000 0.5000 0.5000  4 Tc 2.73

**Distance to the lowest polymorph of the same formula**: 0.0000 eV per atom

No. 2
# NbIn2Tc

An optimized crystal structure of NbIn2Tc (GGA-PBE, OQMD).

a b c (Å): 4.7059 4.7059 4.7059
angles (deg): 60.00 60.00 60.00
Closest atoms and distances in Å follow each position.
Fractional positions:
In 0.5000 0.5000 0.5000  4 In 2.88, 4 Tc 2.88
In 0.7500 0.7500 0.7500  4 In 2.88, 4 Nb 2.88
Nb 0.0000 0.0000 0.0000  4 In 2.88, 4 Tc 2.88
Tc 0.2500 0.2500 0.2500  4 In 2.88, 4 Nb 2.88

**Electronic total energy**: -24.87 eV/f.u.

No. 3
# NbInTe

An optimized crystal structure of NbInTe (GGA-PBE, OQMD).

a b c (Å): 4.8042 4.8042 4.8042
angles (deg): 60.00 60.00 60.00
Closest atoms and distances in Å follow each position.
Fractional positions:
Nb 0.7500 0.7500 0.7500  4 Te 2.94
In 0.2500 0.2500 0.2500  4 Te 2.94
Te 0.0000 0.0000 0.0000  4 In 2.94, 4 Nb 2.94

**Distance to the lowest polymorph of the same formula**: 0.0000 eV per atom

No. 4
# Nb3InTe3

An optimized crystal structure of Nb3InTe3 (GGA-PBE, OQMD).

a b c (Å): 9.1872 4.8656 9.2946
angles (deg): 90.00 118.81 90.00
Closest atoms and distances in Å follow each position.
Fractional positions:
Te 0.8976 0.2500 0.8036  4 Nb 2.86-2.93
Te 0.5895 0.7500 0.8802  4 Nb 2.85-3.12
Te 0.1839 0.2500 0.5902  4 Nb 2.84-2.99
Te 0.4105 0.2500 0.1198  4 Nb 2.85-3.12
Te 0.1024 0.7500 0.1964  4 Nb 2.86-2.93
Te 0.8161 0.7500 0.4098  4 Nb 2.84-2.99
Nb 0.4663 0.7500 0.3508  6 Nb 2.70-2.97, 2 Te 2.93-2.99
Nb 0.7234 0.7500 0.6603  5 Nb 2.70-3.02, 4 Te 2.84-2.86
Nb 0.6756 0.2500 0.4497  5 Nb 2.73-3.02, 4 Te 2.85-2.92
Nb 0.3244 0.7500 0.5503  5 Nb 2.73-3.02, 4 Te 2.85-2.92
Nb 0.2766 0.2500 0.3397  5 Nb 2.70-3.02, 4 Te 2.84-2.86
Nb 0.5337 0.2500 0.6492  6 Nb 2.70-2.97, 2 Te 2.93-2.99
In 0.8078 0.2500 0.1437  8 Te 3.35-3.63, 1 Nb 3.59
In 0.1922 0.7500 0.8563  8 Te 3.35-3.63, 1 Nb 3.59

**Electronic total energy**: -44.64 eV/f.u.

No. 5
# Nb3InTe4

An optimized crystal structure of Nb3InTe4 (GGA-PBE, OQMD).

a b c (Å): 10.0722 4.7717 10.0728
angles (deg): 90.00 119.99 90.00
Closest atoms and distances in Å follow each position.
Fractional positions:
In 0.0000 0.0000 0.0000  2 In 2.39
In 0.0000 0.5000 0.0000  2 In 2.39
Te 0.6759 0.2500 0.9917  4 Nb 2.83-3.02
Te 0.3241 0.7500 0.0083  4 Nb 2.83-3.02
Te 0.6667 0.2500 0.3333  6 Nb 2.91
Te 0.6841 0.7500 0.6758  4 Nb 2.83-3.02
Te 0.9917 0.7500 0.3159  4 Nb 2.83-3.02
Te 0.0083 0.2500 0.6841  4 Nb 2.83-3.02
Te 0.3159 0.2500 0.3242  4 Nb 2.83-3.02
Te 0.3333 0.7500 0.6667  6 Nb 2.91
Nb 0.6485 0.7500 0.1601  6 Te 2.83-3.02, 2 Nb 2.88
Nb 0.8399 0.7500 0.4884  6 Te 2.83-3.02, 2 Nb 2.88
Nb 0.4884 0.2500 0.6486  6 Te 2.83-3.02, 2 Nb 2.88
Nb 0.3515 0.2500 0.8399  6 Te 2.83-3.02, 2 Nb 2.88
Nb 0.5116 0.7500 0.3514  6 Te 2.83-3.02, 2 Nb 2.88
Nb 0.1601 0.2500 0.5116  6 Te 2.83-3.02, 2 Nb 2.88

**Electronic total energy**: -46.05 eV/f.u.

No. 6
# ThNbIn

An optimized crystal structure of ThNbIn (GGA-PBE, OQMD).

a b c (Å): 4.8732 4.8732 4.8732
angles (deg): 60.00 60.00 60.00
Closest atoms and distances in Å follow each position.
Fractional positions:
Nb 0.0000 0.0000 0.0000  4 In 2.98, 4 Th 2.98
In 0.7500 0.7500 0.7500  4 Nb 2.98
Th 0.2500 0.2500 0.2500  4 Nb 2.98

**Distance to the lowest polymorph of the same formula**: 0.0000 eV per atom

No. 7
# NbInW2

An optimized crystal structure of NbInW2 (GGA-PBE, OQMD).

a b c (Å): 4.6407 4.6407 4.6407
angles (deg): 60.00 60.00 60.00
Closest atoms and distances in Å follow each position.
Fractional positions:
In 0.5000 0.5000 0.5000  4 W 2.84, 4 Nb 2.84
W 0.7500 0.7500 0.7500  4 In 2.84, 4 W 2.84
W 0.0000 0.0000 0.0000  4 Nb 2.84, 4 W 2.84
Nb 0.2500 0.2500 0.2500  4 W 2.84, 4 In 2.84

**Electronic total energy**: -37.08 eV/f.u.

No. 8
# YNbIn2

An optimized crystal structure of YNbIn2 (GGA-PBE, OQMD).

a b c (Å): 5.0914 5.0914 5.0914
angles (deg): 60.00 60.00 60.00
Closest atoms and distances in Å follow each position.
Fractional positions:
In 0.0000 0.0000 0.0000  4 Nb 3.12, 4 In 3.12
In 0.2500 0.2500 0.2500  4 Y 3.12, 4 In 3.12
Nb 0.7500 0.7500 0.7500  4 In 3.12, 4 Y 3.12
Y 0.5000 0.5000 0.5000  4 In 3.12, 4 Nb 3.12

**Electronic total energy**: -20.77 eV/f.u.

No. 9
# Y2NbIn

An optimized crystal structure of Y2NbIn (GGA-PBE, OQMD).

a b c (Å): 5.1475 5.1475 5.1475
angles (deg): 60.00 60.00 60.00
Closest atoms and distances in Å follow each position.
Fractional positions:
Y 0.7500 0.7500 0.7500  4 Y 3.15, 4 In 3.15
Y 0.0000 0.0000 0.0000  4 Y 3.15, 4 Nb 3.15
In 0.5000 0.5000 0.5000  4 Nb 3.15, 4 Y 3.15
Nb 0.2500 0.2500 0.2500  4 In 3.15, 4 Y 3.15

**Electronic total energy**: -25.21 eV/f.u.

No. 10
# Nb2ZnIn

An optimized crystal structure of Nb2ZnIn (GGA-PBE, OQMD).

a b c (Å): 4.7083 4.7083 4.7083
angles (deg): 60.00 60.00 60.00
Closest atoms and distances in Å follow each position.
Fractional positions:
Zn 0.2500 0.2500 0.2500  4 Nb 2.88, 4 In 2.88
Nb 0.7500 0.7500 0.7500  4 In 2.88, 4 Nb 2.88
Nb 0.0000 0.0000 0.0000  4 Nb 2.88, 4 Zn 2.88
In 0.5000 0.5000 0.5000  4 Nb 2.88, 4 Zn 2.88

**Electronic total energy**: -22.94 eV/f.u.

No. 11
# NbZn2In

An optimized crystal structure of NbZn2In (GGA-PBE, OQMD).

a b c (Å): 4.6586 4.6586 4.6586
angles (deg): 60.00 60.00 60.00
Closest atoms and distances in Å follow each position.
Fractional positions:
Zn 0.7500 0.7500 0.7500  4 In 2.85, 4 Zn 2.85
Zn 0.0000 0.0000 0.0000  4 Zn 2.85, 4 Nb 2.85
Nb 0.2500 0.2500 0.2500  4 In 2.85, 4 Zn 2.85
In 0.5000 0.5000 0.5000  4 Nb 2.85, 4 Zn 2.85

**Electronic total energy**: -13.93 eV/f.u.

No. 12
# ZrNbIn2

An optimized crystal structure of ZrNbIn2 (GGA-PBE, OQMD).

a b c (Å): 4.9413 4.9413 4.9413
angles (deg): 60.00 60.00 60.00
Closest atoms and distances in Å follow each position.
Fractional positions:
Zr 0.2500 0.2500 0.2500  4 Nb 3.03, 4 In 3.03
Nb 0.5000 0.5000 0.5000  4 In 3.03, 4 Zr 3.03
In 0.0000 0.0000 0.0000  4 Zr 3.03, 4 In 3.03
In 0.7500 0.7500 0.7500  4 Nb 3.03, 4 In 3.03

**Electronic total energy**: -22.98 eV/f.u.